# 1
Entry from the Alexandria database: an optimized crystal structure of LaCuW2O8 (PBE with a Hubbard U).

Summary:
N(E_F): 0.0 states/eV/cell
Volume: 14.62 A^3/atom
Magnetization: 0.00 μB per formula unit
VASP energy: -88.9 eV/cell

Unit cell a=5.1314 b=6.1119 c=6.4284 alpha=108.18 beta=92.59 gamma=111.39
Closest atoms and distances in Å follow each position.
Fractional coordinates of all 12 atoms:
La: 0.0000 0.0000 0.0000  6 O 2.44-2.45
Cu: 0.5000 0.0000 0.5000  2 O 1.85
W: 0.2495 0.4848 0.6576  4 O 1.81-1.98
W: 0.7505 0.5152 0.3424  4 O 1.81-1.98
O: 0.0201 0.6852 0.6606  2 W 1.98-2.13
O: 0.0279 0.2567 0.7692  1 W 1.81
O: 0.4747 0.3011 0.5253  1 Cu 1.85, 1 W 1.94
O: 0.4950 0.7267 0.9075  1 W 1.82
O: 0.5050 0.2733 0.0925  1 W 1.82
O: 0.5253 0.6989 0.4747  1 Cu 1.85, 1 W 1.94
O: 0.9721 0.7433 0.2308  1 W 1.81
O: 0.9799 0.3148 0.3394  2 W 1.98-2.13

# 2
Entry from the Alexandria database: an optimized crystal structure of LaCuW2O8 (PBE with a Hubbard U).

Summary:
Volume: 14.19 A^3/atom
Magnetization: 0.04 μB per formula unit
VASP energy: -177.7 eV/cell

Unit cell a=7.3345 b=7.5527 c=7.7334 alpha=114.49 beta=115.57 gamma=91.53
Closest atoms and distances in Å follow each position.
Fractional coordinates of all 24 atoms:
La: 0.1848 0.2850 0.4625  8 O 2.39-2.67
La: 0.8152 0.7150 0.5375  8 O 2.39-2.67
Cu: 0.2221 0.6757 0.9552  3 O 1.89-2.09
Cu: 0.7779 0.3243 0.0448  3 O 1.89-2.09
W: 0.2716 0.2962 0.0378  3 O 1.83-1.85
W: 0.3550 0.8999 0.7136  4 O 1.79-1.98
W: 0.6450 0.1001 0.2864  4 O 1.79-1.98
W: 0.7284 0.7038 0.9622  3 O 1.83-1.85
O: 0.0519 0.3095 0.0950  1 W 1.84, 1 Cu 1.89
O: 0.1457 0.9957 0.8038  2 W 1.98-2.08
O: 0.1763 0.6459 0.5531  1 W 1.85
O: 0.2015 0.3677 0.8200  1 W 1.85
O: 0.2972 0.9952 0.5240  1 W 1.79
O: 0.3862 0.1679 0.2546  1 W 1.92
O: 0.4632 0.5303 0.2673  1 W 1.83
O: 0.4762 0.8256 0.0029  1 Cu 1.96, 2 W 2.10-2.17
O: 0.5238 0.1744 0.9971  1 Cu 1.96, 2 W 2.10-2.17
O: 0.5368 0.4697 0.7327  1 W 1.83
O: 0.6138 0.8321 0.7454  1 W 1.92
O: 0.7028 0.0048 0.4760  1 W 1.79
O: 0.7985 0.6323 0.1800  1 W 1.85
O: 0.8237 0.3541 0.4469  1 W 1.85
O: 0.8543 0.0043 0.1962  2 W 1.98-2.08
O: 0.9481 0.6905 0.9050  1 W 1.84, 1 Cu 1.89

> Look up the volume of the second one.

14.19 A^3/atom

> Among the records above, which one has the lowest VASP energy?

number 2

> Which of these has the lowest volume?

number 2

> What is the formula in the second record?

LaCuW2O8